VASP calculation (PBE-GGA) on an optimized crystal structure of NiHgMo2.

a b c (Å): 2.7380 4.1827 5.5211
angles (deg): 90.00 90.00 90.00
Fractional positions:
Hg (0.5000, 0.5000, 0.7500)
Mo (0.0000, 0.0000, 0.0311)
Mo (0.0000, 0.0000, 0.4689)
Ni (0.5000, 0.5000, 0.2500)

Properties
DFT total energy = -6.57 eV per atom
Space-group type = Pmmm
Calculated volume = 63.2 Å³ per cell
ΔH_f (0 K) = 1.5 eV per formula unit
Crystal system = orthorhombic